No. 1
18
Lattice="6.494 0.000 0.000 0.000 6.494 0.000 0.000 0.000 4.506" Properties=species:S:1:pos:R:3 comment="Li2VGeO5, PBEsol geometry, DFT meta-GGA SCAN" dft_energy_ev_per_atom=-10.38 pbc="T T T"
Li 0.000 0.000 0.000
Li 0.000 3.247 0.000
Li 3.247 0.000 0.000
Li 3.247 3.247 0.000
V 1.623 1.623 1.819
V 4.870 4.870 2.687
Ge 1.623 4.870 2.253
Ge 4.870 1.623 2.253
O 0.226 4.870 3.318
O 1.623 1.623 3.459
O 1.623 3.473 1.188
O 1.623 6.268 1.188
O 3.021 4.870 3.318
O 3.473 1.623 1.188
O 4.870 0.226 3.318
O 4.870 3.021 3.318
O 4.870 4.870 1.047
O 6.268 1.623 1.188

No. 2
34
Lattice="5.318 0.000 0.000 0.000 6.311 0.000 -0.219 0.000 10.630" Properties=species:S:1:pos:R:3 comment="Li7VGeO8, PBEsol geometry, DFT meta-GGA SCAN" de_polymorph_mev_per_atom=32.3 pbc="T T T"
Li 0.000 0.000 0.000
Li -0.007 1.456 2.452
Li -0.007 4.854 2.452
Li 0.762 0.000 5.224
Li 1.151 1.256 8.049
Li 1.151 5.054 8.049
Li 2.439 3.155 6.723
Li 2.715 1.590 4.169
Li 2.715 4.721 4.169
Li 3.340 3.155 1.624
Li 3.230 1.587 9.738
Li 3.230 4.724 9.738
Li 4.631 1.953 7.756
Li 4.631 4.358 7.756
V -0.041 3.155 5.136
V 0.586 3.155 10.389
Ge 2.707 0.000 1.619
Ge 3.415 0.000 6.836
O -0.110 0.000 7.061
O 0.167 3.155 1.308
O 0.007 1.761 9.510
O 0.007 4.550 9.510
O 0.462 3.155 6.850
O 0.587 1.778 4.378
O 0.587 4.532 4.378
O 0.936 0.000 1.636
O 2.302 3.155 10.393
O 2.740 0.000 5.259
O 2.899 1.471 7.720
O 2.899 4.839 7.720
O 3.126 0.000 10.596
O 3.345 1.440 2.426
O 3.345 4.871 2.426
O 3.558 3.155 5.123

No. 3
40
Lattice="9.677 0.000 0.000 0.000 8.718 0.000 -1.203 0.000 5.155" Properties=species:S:1:pos:R:3 comment="LiVGe2O6, PBEsol geometry, DFT meta-GGA SCAN" dft_energy_ev_per_atom=-11.66 pbc="T T T"
Li 1.775 0.125 2.356
Li 1.174 4.234 4.933
Li 7.300 4.485 0.222
Li 6.698 8.593 2.800
V 1.854 5.770 2.353
V 1.252 7.307 4.931
V 7.222 1.411 0.224
V 6.620 2.948 2.802
Ge -0.464 1.369 4.274
Ge 0.138 2.990 1.696
Ge 4.115 1.343 1.190
Ge 3.513 3.016 3.767
Ge 4.960 5.702 1.388
Ge 4.359 7.375 3.966
Ge 8.336 5.728 3.459
Ge 8.938 7.350 0.881
O 0.902 1.603 0.874
O 0.300 2.756 3.451
O 0.996 4.415 1.235
O 0.395 8.662 3.813
O 0.405 5.805 3.803
O 1.007 7.272 1.225
O 3.257 5.773 0.913
O 2.655 7.304 3.491
O 3.106 1.771 2.585
O 3.708 2.588 0.007
O 2.907 4.594 3.420
O 3.509 8.483 0.842
O 4.965 0.235 4.313
O 5.567 4.124 1.736
O 4.766 6.130 5.148
O 5.367 6.947 2.571
O 5.819 1.414 1.664
O 5.217 2.945 4.242
O 7.467 1.446 3.930
O 8.069 2.913 1.352
O 8.079 0.056 1.343
O 7.478 4.303 3.920
O 8.173 5.962 1.704
O 7.572 7.115 4.282

No. 4
34
Lattice="5.237 0.000 0.000 -0.095 6.214 0.000 -0.058 -0.067 10.722" Properties=species:S:1:pos:R:3 comment="Li7VGeO8, PBEsol geometry, DFT meta-GGA SCAN" de_polymorph_mev_per_atom=0.0 pbc="T T T"
Li 0.000 0.000 0.000
Li -0.052 1.442 8.282
Li 0.275 2.802 10.691
Li 0.908 0.997 1.801
Li 1.743 4.727 9.915
Li 1.825 3.052 7.360
Li 1.826 6.161 7.358
Li 1.991 3.132 2.019
Li 2.561 4.603 4.555
Li 2.738 6.077 1.992
Li 3.838 4.080 0.618
Li 4.259 1.707 3.020
Li 4.459 3.003 5.522
Li 4.435 6.096 5.514
V 1.801 1.475 4.677
V 4.394 4.545 8.192
Ge 0.020 4.602 2.864
Ge 2.645 1.539 10.038
O 0.076 1.447 4.667
O 1.769 4.756 2.878
O 1.953 0.292 0.276
O 1.913 1.504 8.448
O 2.248 3.133 0.144
O 2.347 1.521 3.014
O 2.364 2.862 5.481
O 2.452 0.125 5.485
O 2.676 4.609 8.182
O 4.392 1.437 10.003
O 4.498 4.532 4.424
O 4.597 5.950 1.883
O 4.991 3.093 1.894
O 4.968 3.169 7.370
O 4.970 4.483 9.841
O 5.017 5.914 7.389

No. 5
33
Lattice="5.268 0.000 0.000 -0.219 6.412 0.000 -0.303 -0.356 10.832" Properties=species:S:1:pos:R:3 comment="Li10Zn3Ge4O16, PBEsol geometry, DFT meta-GGA SCAN" dft_energy_ev_per_atom=-9.27 pbc="T T T"
Li 0.000 0.000 0.000
Li -0.073 2.676 0.085
Li 0.961 4.264 9.724
Li 1.303 5.921 7.123
Li 2.154 3.006 1.911
Li 2.073 4.381 4.393
Li 2.901 5.640 9.510
Li 3.496 4.230 0.340
Li 4.042 2.179 3.443
Li 4.748 1.020 8.117
Zn 1.338 2.775 7.121
Zn 2.230 6.294 1.827
Zn 3.991 5.949 5.312
Ge 1.530 1.179 4.526
Ge 2.151 1.313 9.917
Ge 3.970 4.182 7.952
Ge 4.817 4.597 2.545
O 1.325 4.692 2.555
O 1.528 1.155 8.278
O 1.608 -0.251 10.688
O 1.566 2.730 10.767
O 1.891 2.704 5.321
O 2.004 6.176 5.351
O 2.279 1.433 2.933
O 2.168 4.360 8.075
O 3.898 1.014 9.878
O 4.088 5.813 1.474
O 4.067 4.383 4.107
O 4.311 3.125 1.679
O 4.337 4.385 9.704
O 4.639 2.735 7.326
O 4.566 5.664 7.178
O 5.084 0.928 4.342

No. 6
18
Lattice="6.434 -2.896 0.000 6.434 2.896 0.000 -2.585 0.000 7.820" Properties=species:S:1:pos:R:3 comment="Li5GeP3, PBEsol geometry, DFT meta-GGA SCAN" formation_enthalpy_0k_ev_per_atom=-0.596 pbc="T T T"
Li 1.923 1.478 7.122
Li 3.217 1.455 3.360
Li 4.496 1.454 5.865
Li 8.359 1.455 0.550
Li 7.068 1.478 4.607
Li 3.216 -1.478 3.212
Li 1.925 -1.455 7.269
Li 5.788 -1.454 1.955
Li 7.066 -1.455 4.460
Li 8.360 -1.478 0.698
Ge 5.788 1.507 1.955
Ge 4.496 -1.507 5.865
P -0.082 0.149 6.441
P 1.210 -0.149 2.531
P 6.434 0.000 0.000
P 5.142 0.000 3.910
P 9.073 0.149 5.288
P 10.366 -0.149 1.378

No. 7
5
Lattice="4.947 0.000 0.000 0.000 4.947 0.000 0.000 0.000 6.010" Properties=species:S:1:pos:R:3 comment="RbLi2GeP, PBEsol geometry, DFT meta-GGA SCAN" formation_enthalpy_0k_ev_per_atom=0.505 pbc="T T T"
Rb 0.000 0.000 0.000
Li 0.000 2.473 3.005
Li 2.473 0.000 3.005
Ge 0.000 0.000 3.005
P 2.473 2.473 0.000

No. 8
50
Lattice="8.682 0.000 0.000 0.000 8.682 0.000 0.000 0.000 12.403" Properties=species:S:1:pos:R:3 comment="Li10GeP2S12, PBEsol geometry, DFT meta-GGA SCAN" de_polymorph_mev_per_atom=10.9 pbc="T T T"
Li 0.000 0.000 0.000
Li 0.000 0.000 6.201
Li 1.951 2.112 6.088
Li 1.951 6.570 6.088
Li 1.971 2.345 9.274
Li 1.971 6.337 9.274
Li 2.112 1.951 12.290
Li 2.112 6.731 12.290
Li 2.345 1.971 3.072
Li 2.345 6.712 3.072
Li 4.341 4.341 4.951
Li 4.341 4.341 11.152
Li 6.337 1.971 3.072
Li 6.337 6.712 3.072
Li 6.570 1.951 12.290
Li 6.570 6.731 12.290
Li 6.712 2.345 9.274
Li 6.712 6.337 9.274
Li 6.731 2.112 6.088
Li 6.731 6.570 6.088
Ge 0.000 0.000 3.123
Ge 0.000 0.000 9.324
P 0.000 4.341 11.930
P 4.341 0.000 5.728
P 4.341 4.341 1.809
P 4.341 4.341 8.010
S 0.000 1.817 8.044
S 0.000 1.827 4.405
S 0.000 2.676 0.697
S 0.000 6.007 0.697
S 0.000 6.855 4.405
S 0.000 6.865 8.044
S 1.701 4.341 10.768
S 1.817 0.000 1.842
S 1.827 0.000 10.606
S 2.625 4.341 6.868
S 2.655 4.341 2.952
S 2.676 0.000 6.898
S 4.341 1.701 4.566
S 4.341 2.625 0.667
S 4.341 2.655 9.153
S 4.341 6.028 9.153
S 4.341 6.057 0.667
S 4.341 6.981 4.566
S 6.007 0.000 6.898
S 6.028 4.341 2.952
S 6.057 4.341 6.868
S 6.855 0.000 10.606
S 6.865 0.000 1.842
S 6.981 4.341 10.768

No. 9
50
Lattice="8.445 0.000 0.000 -0.003 8.822 0.000 -0.067 -0.682 12.669" Properties=species:S:1:pos:R:3 comment="Li10GeP2S12, PBEsol geometry, DFT meta-GGA SCAN" de_polymorph_mev_per_atom=0.0 pbc="T T T"
Li 0.000 0.000 0.000
Li 0.012 4.101 0.959
Li 0.019 3.848 8.241
Li 0.193 -0.458 9.216
Li 1.733 5.554 11.701
Li 1.927 5.997 5.099
Li 3.830 3.127 7.581
Li 3.917 8.078 12.479
Li 3.977 8.175 5.557
Li 4.055 3.815 4.380
Li 4.044 -0.430 8.940
Li 4.123 4.108 1.328
Li 4.118 3.816 10.992
Li 4.257 8.148 2.522
Li 5.977 5.799 7.692
Li 6.214 1.856 3.790
Li 6.322 1.677 10.174
Li 8.154 8.181 6.171
Li 8.277 8.285 2.793
Li 8.356 3.829 4.326
Ge 2.018 6.391 2.133
Ge 6.296 1.689 6.799
P 1.951 1.677 10.748
P 2.080 6.030 8.438
P 6.197 1.839 0.533
P 6.177 5.960 4.593
S 0.163 6.611 0.958
S 0.308 1.927 9.599
S 0.409 5.878 9.619
S 1.878 -0.250 11.422
S 1.982 4.498 7.082
S 2.017 4.377 3.096
S 2.037 7.854 7.473
S 2.098 8.005 3.673
S 2.083 3.103 12.220
S 3.681 1.876 9.650
S 3.777 6.540 0.781
S 3.805 5.956 9.561
S 4.403 1.747 5.609
S 4.515 1.608 1.690
S 4.503 5.743 5.762
S 6.147 3.345 8.285
S 6.172 7.860 3.856
S 6.186 4.476 3.181
S 6.148 3.038 12.396
S 6.179 -0.284 11.743
S 6.354 -0.241 7.955
S 7.826 5.728 5.793
S 7.886 1.702 1.708
S 8.069 1.727 5.497

No. 10
5
Lattice="4.289 0.000 0.000 0.000 4.289 0.000 0.000 0.000 5.078" Properties=species:S:1:pos:R:3 comment="Li2ScGeP, PBEsol geometry, DFT meta-GGA SCAN" formation_enthalpy_0k_ev_per_atom=-0.071 pbc="T T T"
Li 0.000 2.144 0.000
Li 2.144 0.000 0.000
Sc 0.000 0.000 2.539
Ge 2.144 2.144 2.539
P 2.144 2.144 0.000

No. 11
5
Lattice="4.533 0.000 0.000 0.000 4.533 0.000 0.000 0.000 4.804" Properties=species:S:1:pos:R:3 comment="LiTi2GeP, PBEsol geometry, DFT meta-GGA SCAN" formation_enthalpy_0k_ev_per_atom=0.116 pbc="T T T"
Li 0.000 0.000 0.000
Ti 0.000 2.267 2.402
Ti 2.267 0.000 2.402
Ge 2.267 2.267 0.000
P 2.267 2.267 2.402

No. 12
10
Lattice="7.778 0.000 0.000 0.000 7.778 0.000 0.000 0.000 3.132" Properties=species:S:1:pos:R:3 comment="Li2Ge2Pb, PBEsol geometry, DFT meta-GGA SCAN" formation_enthalpy_0k_ev_per_atom=-0.181 pbc="T T T"
Li 1.427 2.462 0.000
Li 2.462 6.351 0.000
Li 5.315 1.427 0.000
Li 6.351 5.315 0.000
Ge 0.882 4.770 1.566
Ge 3.007 0.882 1.566
Ge 4.770 6.896 1.566
Ge 6.896 3.007 1.566
Pb 0.000 0.000 1.566
Pb 3.889 3.889 1.566